Here is LiCuW2 after structural relaxation from Alexandria. Energies are from PBE-GGA.

Unit cell a=3.292 b=3.292 c=5.142 alpha=90.00 beta=90.00 gamma=90.00
Atoms (fractional coordinates):
Li 0.000 0.000 0.000
Cu 0.000 0.000 0.500
W 0.500 0.500 0.254
W 0.500 0.500 0.746

Its crystal system is tetragonal. The total magnetic moment comes out at 0.00 μB per formula unit. The value obtained for the uncorrected energy is -29.20 eV/cell. As for the density: 13.06 Mg/m³. The space group is No. 123. For the energy above the most stable polymorph in this dataset, the calculation gives 434.3 meV per atom.

***

Here is Cd3BI after structural relaxation from Alexandria. Energies are from PBE-GGA.

Unit cell a=4.856 b=4.856 c=4.856 alpha=90.00 beta=90.00 gamma=90.00
Atoms (fractional coordinates):
Cd 0.000 0.000 0.500
Cd 0.000 0.500 0.000
Cd 0.500 0.000 0.000
B 0.000 0.000 0.000
I 0.500 0.500 0.500

Its crystal system is cubic. The total magnetic moment comes out at 0.00 μB per formula unit. Its energy relative to the elements, uncorrected is 230 meV per atom. The value obtained for the uncorrected energy is -9.82 eV/cell. As for the density: 6.89 Mg/m³. The space group is No. 221. For the energy above the most stable polymorph in this dataset, the calculation gives 0.0 meV per atom.

***

What is the uncorrected energy in the first record? -29.20 eV/cell

***

uncorrected energy of number 2 (Cd3BI)? -9.82 eV/cell